This record from Alexandria via LeMat-Bulk describes La8Mg3Tc2 after structural relaxation. The functional is PBE.

Cell lengths 5.789, 7.255, 10.044 Å; angles 111.17, 86.13, 90.00 degrees
Positions (direct):
La  0.758  0.833  0.666
La  0.240  0.558  0.650
La  0.760  0.442  0.350
La  0.693  0.418  0.836
La  0.240  0.092  0.650
La  0.760  0.908  0.350
La  0.242  0.167  0.334
La  0.307  0.582  0.164
Tc  0.263  0.718  0.436
Tc  0.737  0.282  0.564
Mg  0.000  0.193  0.000
Mg  0.500  0.000  0.000
Mg  0.000  0.807  0.000

Summary:
SG: C2/m (12)
Fermi-level density of states: 0.950 states/eV/atom
Total DFT energy (no corrections): -4.968 eV/atom
Energy of formation from the pure elements: 0.0273 eV/atom